First-principles (PBE with a Hubbard U) data for an optimized crystal structure of NaLiNi2F6, as listed in the Alexandria database.

Summary:
Space-group type   R3 (146)
Magnetization   4.00 μB per formula unit
V   11.34 A^3/atom
DOS at the Fermi energy   0.000 states/eV per atom
DFT total energy   -4.399 eV per atom

Cell: 5.573 5.573 5.573 Å, 56.82 56.82 56.82°
Fractional positions:
Na  0.000  0.000  0.000
Li  0.486  0.486  0.486
Ni  0.281  0.281  0.281
Ni  0.786  0.786  0.786
F  0.063  0.639  0.430
F  0.173  0.547  0.898
F  0.430  0.063  0.639
F  0.547  0.898  0.173
F  0.639  0.430  0.063
F  0.898  0.173  0.547